Entry from OQMD: an optimized crystal structure of LaCoO3 (GGA+U).

Electronic total energy (eV/atom): -7.126
Symmetry: Pm-3m
Total magnetic moment (μB per formula unit): 0.001

Cell lengths 3.782, 3.782, 3.782 Å; angles 90.00, 90.00, 90.00 degrees
Element x y z (fractional)
La: 0.000 0.000 0.000
Co: 0.500 0.500 0.500
O: 0.000 0.500 0.500
O: 0.500 0.000 0.500
O: 0.500 0.500 0.000